# 1
The following is a DFT calculation (PBE-GGA) of LaFeCu after structural relaxation.

## Properties
Energy of formation = 0.923 eV per atom
Space-group type = F-43m (216)

Cell lengths 4.730, 4.730, 4.730 Å; angles 60.00, 60.00, 60.00 degrees
Positions (direct):
Cu 0.000 0.000 0.000
La 0.750 0.750 0.750
Fe 0.500 0.500 0.500

# 2
The following is a DFT calculation (PBE-GGA) of ScOs2Au after structural relaxation.

## Properties
Relative energy among the computed polymorphs = 498.2 meV per atom
Energy of formation = 0.402 eV per atom
Space-group type = Fm-3m (225)

Cell lengths 4.524, 4.524, 4.524 Å; angles 60.00, 60.00, 60.00 degrees
Positions (direct):
Os 0.250 0.250 0.250
Os 0.750 0.750 0.750
Sc 0.000 0.000 0.000
Au 0.500 0.500 0.500

# 3
The following is a DFT calculation (PBE-GGA) of Ag3SnIr after structural relaxation.

## Properties
Relative energy among the computed polymorphs = 0.0 meV per atom
Energy of formation = 0.991 eV per atom
Space-group type = Pm-3m (221)

Cell lengths 5.060, 5.060, 5.060 Å; angles 90.00, 90.00, 90.00 degrees
Positions (direct):
Ag 0.000 0.500 0.000
Ag 0.000 0.000 0.500
Ag 0.500 0.000 0.000
Ir 0.000 0.000 0.000
Sn 0.500 0.500 0.500

# 4
The following is a DFT calculation (PBE-GGA) of RbCd2Bi2 after structural relaxation.

## Properties
Relative energy among the computed polymorphs = 62.9 meV per atom
Energy of formation = -0.155 eV per atom
Space-group type = P-1 (2)

Cell lengths 7.977, 8.203, 8.397 Å; angles 72.34, 61.56, 50.74 degrees
Positions (direct):
Rb 0.140 0.251 0.721
Rb 0.860 0.749 0.279
Cd 0.715 0.251 0.573
Cd 0.285 0.749 0.427
Cd 0.495 0.748 0.013
Cd 0.505 0.252 0.987
Bi 0.861 0.833 0.776
Bi 0.139 0.167 0.224
Bi 0.634 0.331 0.227
Bi 0.366 0.669 0.773

# 5
The following is a DFT calculation (PBE-GGA) of SrMgIn2 after structural relaxation.

## Properties
Energy of formation = -0.085 eV per atom
Space-group type = R-3m (166)

Cell lengths 10.461, 10.461, 10.461 Å; angles 20.16, 20.16, 20.16 degrees
Positions (direct):
Mg 0.250 0.250 0.250
In 0.508 0.508 0.508
In 0.992 0.992 0.992
Sr 0.750 0.750 0.750

# 6
The following is a DFT calculation (PBE-GGA) of Pm3AlPd12 after structural relaxation.

## Properties
Energy of formation = -0.740 eV per atom
Space-group type = P4/mmm (123)

Cell lengths 4.156, 4.156, 16.193 Å; angles 90.00, 90.00, 90.00 degrees
Positions (direct):
Al 0.000 0.000 0.000
Pd 0.000 0.500 0.630
Pd 0.500 0.000 0.370
Pd 0.000 0.500 0.370
Pd 0.000 0.500 0.108
Pd 0.500 0.000 0.108
Pd 0.500 0.500 0.239
Pd 0.500 0.500 0.500
Pd 0.500 0.000 0.630
Pd 0.500 0.500 0.761
Pd 0.500 0.000 0.892
Pd 0.000 0.500 0.892
Pd 0.500 0.500 0.000
Pm 0.000 0.000 0.240
Pm 0.000 0.000 0.760
Pm 0.000 0.000 0.500

# 7
The following is a DFT calculation (PBE-GGA) of CaLaAu2 after structural relaxation.

## Properties
Energy of formation = -0.741 eV per atom
Space-group type = C2/m (12)

Cell lengths 4.361, 4.361, 7.511 Å; angles 73.21, 73.21, 59.90 degrees
Positions (direct):
Au 0.499 0.499 0.504
Au 0.001 0.001 0.996
La 0.250 0.250 0.250
Ca 0.750 0.750 0.750

# 8
The following is a DFT calculation (PBE-GGA) of PmSnH after structural relaxation.

## Properties
Relative energy among the computed polymorphs = 74.6 meV per atom
Space-group type = P-6m2 (187)

Cell lengths 5.183, 3.763, 3.763 Å; angles 120.00, 90.00, 90.00 degrees
Positions (direct):
Pm 0.167 0.667 0.333
H 0.166 0.000 0.000
Sn 0.667 0.333 0.667